## LiRu2O6 (PBE)

Data for a geometry-optimized LiRu2O6 structure.

Structure (POSCAR):
```
LiRu2O6
1.0
4.366 0.000 0.000
0.000 7.345 -4.240
0.000 0.000 8.481
Li Ru O
3 6 18
Direct
0.499 0.333 0.667
0.000 0.000 0.000
0.501 0.667 0.333
0.000 0.661 0.661
0.500 0.328 0.328
0.000 0.000 0.339
0.500 0.672 0.000
0.500 0.000 0.672
0.000 0.339 0.000
0.246 0.768 0.883
0.747 0.565 0.781
0.251 0.446 0.548
0.251 0.452 0.899
0.747 0.215 0.435
0.246 0.115 0.232
0.747 0.219 0.785
0.754 0.885 0.117
0.251 0.101 0.554
0.246 0.117 0.885
0.253 0.785 0.219
0.749 0.899 0.452
0.749 0.554 0.101
0.253 0.781 0.565
0.754 0.883 0.768
0.253 0.435 0.215
0.749 0.548 0.446
0.754 0.232 0.115
```

Total energy = -59.67 eV per formula unit
Density of states at the Fermi level = 14.3 states/eV per cell
Crystal system = trigonal

## NdHoSb2 (PBE)

Data for a geometry-optimized NdHoSb2 structure.

Structure (POSCAR):
```
NdHoSb2
1.0
4.451 -0.002 -0.005
-2.225 3.854 0.005
-2.221 -1.286 7.254
Nd Ho Sb
1 1 2
Direct
0.000 0.500 0.500
0.000 0.000 0.000
0.507 0.253 0.760
0.493 0.747 0.240
```

Density of states at the Fermi level = 0.7 states/eV per cell
Crystal system = trigonal
Relative energy among the computed polymorphs = 0.000 eV/atom